[1]
A plane-wave DFT calculation with GGA-PBE was carried out for Sc4ZnGa2Ir after structural relaxation.

a = 8.117 Å, b = 8.117 Å, c = 8.117 Å
α = 33.64°, β = 33.64°, γ = 33.64°
Atoms (fractional coordinates):
Sc 0.121 0.121 0.121
Sc 0.372 0.372 0.372
Sc 0.628 0.628 0.628
Sc 0.879 0.879 0.879
Zn 0.500 0.500 0.500
Ga 0.246 0.246 0.246
Ga 0.754 0.754 0.754
Ir 0.000 0.000 0.000

Computed properties:
SG ... R-3m (166)
E_form ... -672 meV/atom



[2]
A plane-wave DFT calculation with GGA-PBE was carried out for Sr3DyTi2O9 after structural relaxation.

a = 5.750 Å, b = 5.750 Å, c = 7.274 Å
α = 90.00°, β = 90.00°, γ = 120.00°
Atoms (fractional coordinates):
Sr 0.000 0.000 0.000
Sr 0.333 0.667 0.711
Sr 0.667 0.333 0.289
Dy 0.000 0.000 0.500
Ti 0.333 0.667 0.170
Ti 0.667 0.333 0.830
O 0.000 0.500 0.000
O 0.173 0.346 0.310
O 0.173 0.827 0.310
O 0.346 0.173 0.690
O 0.500 0.000 0.000
O 0.500 0.500 0.000
O 0.654 0.827 0.310
O 0.827 0.173 0.690
O 0.827 0.654 0.690

Computed properties:
SG ... P-3m1 (164)
Formation energy (no corrections) ... -288 kJ per mole of atoms



Number 1: DFT total energy -5.8611 eV/atom. Number 2: DFT total energy -7.6542 eV/atom.